ReSbN3 | GGA-PBE | optimized geometry

Calculated values
E_tot   -6.211 eV/atom
Size of the total moment   0.544 μB per atom
SG   No. 221
Formation energy from raw total energies   2.10 eV per atom
ρ   9.3 g cm⁻³

POSCAR file:
```
ReSbN3
1.0
3.975 0.000 0.000
0.000 3.975 0.000
0.000 0.000 3.975
Re Sb N
1 1 3
Direct
0.000 0.000 0.000
0.500 0.500 0.500
0.000 0.500 0.500
0.500 0.000 0.500
0.500 0.500 0.000
```